NaTl2Ag after structural relaxation, computed with PBEsol.

Unit cell a=7.1255 b=7.1255 c=7.1255 alpha=90.00 beta=90.00 gamma=90.00
With the nearest neighbours (Å) after each atom.
Space group Fm-3m (No. 225)
Symmetry-distinct sites (fractional):
1 Na 0.0000 0.0000 0.0000 x4  8 Tl 3.09
2 Tl 0.2500 0.2500 0.2500 x8  4 Na 3.09, 4 Ag 3.09
3 Ag 0.0000 0.0000 0.5000 x4  8 Tl 3.09


NaAg2W after structural relaxation, computed with PBEsol.

Unit cell a=6.4883 b=6.4883 c=6.4883 alpha=90.00 beta=90.00 gamma=90.00
With the nearest neighbours (Å) after each atom.
Space group Fm-3m (No. 225)
Symmetry-distinct sites (fractional):
1 Na 0.0000 0.0000 0.0000 x4  8 Ag 2.81
2 Ag 0.2500 0.2500 0.2500 x8  4 W 2.81, 4 Na 2.81
3 W 0.0000 0.0000 0.5000 x4  8 Ag 2.81


NaYAg3 after structural relaxation, computed with PBEsol.

Unit cell a=4.8408 b=4.8408 c=4.8408 alpha=90.00 beta=90.00 gamma=90.00
With the nearest neighbours (Å) after each atom.
Space group Pm-3m (No. 221)
Symmetry-distinct sites (fractional):
1 Na 0.0000 0.0000 0.0000 x1  6 Ag 2.42
2 Y 0.5000 0.5000 0.5000 x1  12 Ag 3.42
3 Ag 0.0000 0.0000 0.5000 x3  2 Na 2.42


NaYAg2 after structural relaxation, computed with PBEsol.

Unit cell a=7.0207 b=7.0207 c=7.0207 alpha=90.00 beta=90.00 gamma=90.00
With the nearest neighbours (Å) after each atom.
Space group Fm-3m (No. 225)
Symmetry-distinct sites (fractional):
1 Na 0.0000 0.0000 0.0000 x4  8 Ag 3.04
2 Y 0.0000 0.0000 0.5000 x4  8 Ag 3.04
3 Ag 0.2500 0.2500 0.2500 x8  4 Na 3.04, 4 Y 3.04


Na2Zn2Ag after structural relaxation, computed with PBEsol.

Unit cell a=6.6569 b=6.6569 c=4.7869 alpha=90.00 beta=90.00 gamma=90.00
With the nearest neighbours (Å) after each atom.
Space group P4/mbm (No. 127)
Symmetry-distinct sites (fractional):
1 Na 0.1786 0.3214 0.0000 x4  6 Zn 2.98-3.18
2 Zn 0.1328 0.6328 0.5000 x4  1 Zn 2.50, 2 Ag 2.60
3 Ag 0.0000 0.0000 0.5000 x2  4 Zn 2.60

Output
energy above the most stable polymorph in this dataset = 0 meV per atom


NaZn2Ag2 after structural relaxation, computed with PBEsol.

Unit cell a=3.8731 b=3.8731 c=12.5563 alpha=90.00 beta=90.00 gamma=90.00
With the nearest neighbours (Å) after each atom.
Space group I4/mmm (No. 139)
Symmetry-distinct sites (fractional):
1 Na 0.0000 0.0000 0.0000 x2  8 Ag 3.06
2 Zn 0.0000 0.5000 0.2500 x4  4 Ag 2.63, 4 Zn 2.74
3 Ag 0.0000 0.0000 0.3917 x4  4 Zn 2.63, 1 Ag 2.72

Output
energy above the most stable polymorph in this dataset = 107 meV per atom


Na2Zn2Ag after structural relaxation, computed with PBEsol.

Unit cell a=3.4883 b=3.4883 c=18.0579 alpha=90.00 beta=90.00 gamma=90.00
With the nearest neighbours (Å) after each atom.
Space group I4/mmm (No. 139)
Symmetry-distinct sites (fractional):
1 Na 0.0000 0.0000 0.1019 x4  4 Ag 3.08, 4 Zn 3.19
2 Zn 0.0000 0.5000 0.2500 x4  4 Zn 2.47
3 Ag 0.0000 0.0000 0.5000 x2  8 Na 3.08

Output
energy above the most stable polymorph in this dataset = 84 meV per atom


Na3ZnAg after structural relaxation, computed with PBEsol.

Unit cell a=5.4953 b=5.4953 c=5.4953 alpha=90.00 beta=90.00 gamma=90.00
With the nearest neighbours (Å) after each atom.
Space group Pm-3m (No. 221)
Symmetry-distinct sites (fractional):
1 Na 0.0000 0.0000 0.5000 x3  2 Ag 2.75
2 Zn 0.5000 0.5000 0.5000 x1  12 Na 3.89
3 Ag 0.0000 0.0000 0.0000 x1  6 Na 2.75


| no. | energy of formation from the pure elements (kJ/mol of formula units) |
| --- | --- |
| 1 | -6.9 |
| 2 | 401.6 |
| 3 | 237.5 |
| 4 | -31.1 |
| 5 | 35.4 |
| 6 | 29.9 |
| 7 | 75.7 |
| 8 | 181.2 |